Compound: HfNpCoO6
Source: Alexandria via LeMat-Bulk
Functional: PBE+U
Structure: optimized geometry

```
HfNpCoO6
1.0
5.498 0.000 0.000
-2.749 4.762 0.000
0.000 0.000 8.895
Hf Np Co O
2 2 2 12
Direct
0.333 0.667 0.250
0.667 0.333 0.750
0.667 0.333 0.250
0.333 0.667 0.750
0.000 0.000 0.000
0.000 0.000 0.500
0.656 0.654 0.132
0.998 0.344 0.132
0.344 0.998 0.632
0.002 0.656 0.868
0.346 0.344 0.368
0.998 0.654 0.368
0.654 0.998 0.868
0.656 0.002 0.368
0.002 0.346 0.632
0.346 0.002 0.132
0.654 0.656 0.632
0.344 0.346 0.868
```

## Properties
For the density, the calculation gives 8.13 g/cm³. As for the density of states at the Fermi level: 0.020 states/eV per atom. As for the total energy: -8.91 eV/atom. Its space group is P-31c.